Entry from the Alexandria database: a relaxed structure of VWNF2 (GGA+U).

The spin magnetization is 5.964 Bohr magnetons per cell. As for the crystal system: tetragonal. For the energy above the most stable polymorph in this dataset, the calculation gives 29 meV/atom.

It has space group P4/mmm (No. 123), with a = 4.2395 Å, b = 4.2395 Å, c = 4.0884 Å, α = 90.00°, β = 90.00° and γ = 90.00°. The asymmetric unit holds V at (0.0000, 0.0000, 0.0000), W at (0.5000, 0.5000, 0.5000), N at (0.5000, 0.5000, 0.0000) and F at (0.0000, 0.5000, 0.5000).